The following is a GGA-PBE calculation of an optimized crystal structure of NaGdAg, from the Open Quantum Materials Database.

symmetry: F-43m (216)
energy relative to the lowest polymorph listed for this composition: 347.3 meV/atom

The structure in extended XYZ format:
```
3
Lattice="0.0000 3.5231 3.5231 3.5231 0.0000 3.5231 3.5231 3.5231 0.0000" Properties=species:S:1:pos:R:3 pbc="T T T"
Ag 1.7616 1.7616 1.7616
Gd 0.0000 0.0000 0.0000
Na 5.2847 5.2847 5.2847
```